The following is a PBE with a Hubbard U calculation of crystalline NaMnTlF6 at its relaxed geometry, from Alexandria via LeMat-Bulk.

Output
Uncorrected energy, eV per atom: -4.754
Calculated volume, Å³/cell: 286

```
18
Lattice="-3.0923 2.0861 5.0183 -2.8454 -3.8005 -4.0691 2.6412 -6.7036 4.4142" Properties=species:S:1:pos:R:3 pbc="T T T"
F -2.1249 -6.2406 5.9806
F 0.0726 -3.7088 4.4003
F -0.1148 -4.8331 6.9155
F -1.1358 -3.4524 1.5356
F -3.3691 -4.7093 0.9632
F -1.2906 -4.9363 -0.6253
F -3.4558 -2.2249 0.6774
F -2.0060 -3.4818 5.9887
F -1.1717 -2.1774 -0.6172
F -2.1608 -4.9656 3.8279
F 0.1592 -6.1932 4.6860
F -3.1817 -3.5850 -1.5520
Mn -2.2674 -3.5142 0.0636
Mn -1.0291 -4.9038 5.2998
Tl -2.3497 -1.5520 3.0927
Tl -0.9468 -6.8660 2.2707
Na 1.3206 -3.3518 2.2071
Na 0.0000 0.0000 0.0000
```